# 1
# K2AlCd GGA-PBEsol optimized geometry
# DFT formation energy, kcal/mol of atoms: 9.0
# Distance to the lowest polymorph of the same formula, meV/atom: 225
data_K2AlCd
_chemical_formula_sum 'K2 Al1 Cd1'
_space_group_name_H-M_alt 'P 1'
_space_group_IT_number 1
_cell_length_a 3.2635
_cell_length_b 6.0108
_cell_length_c 6.9701
_cell_angle_alpha 95.16
_cell_angle_beta 90.00
_cell_angle_gamma 105.75
loop_
_space_group_symop_operation_xyz
'x,y,z'
loop_
_atom_site_label
_atom_site_type_symbol
_atom_site_fract_x
_atom_site_fract_y
_atom_site_fract_z
K1 K 0.7501 0.5003 0.7465
K2 K 0.2499 0.4997 0.2535
Al1 Al 0.0000 0.0000 0.5000
Cd1 Cd 0.5000 0.0000 0.0000

# 2
# Nd2EuBeO5 GGA-PBEsol optimized geometry
# Formation energy (no corrections), meV/atom: -3158
data_Nd2EuBeO5
_chemical_formula_sum 'Nd8 Eu4 Be4 O20'
_space_group_name_H-M_alt 'P 1'
_space_group_IT_number 1
_cell_length_a 6.4811
_cell_length_b 7.2288
_cell_length_c 9.4435
_cell_angle_alpha 90.00
_cell_angle_beta 90.00
_cell_angle_gamma 90.00
loop_
_space_group_symop_operation_xyz
'x,y,z'
loop_
_atom_site_label
_atom_site_type_symbol
_atom_site_fract_x
_atom_site_fract_y
_atom_site_fract_z
O1 O 0.3039 0.4416 0.0682
O2 O 0.4769 0.7505 0.4890
O3 O 0.6890 0.5579 0.9310
O4 O 0.1366 0.2496 0.2753
O5 O 0.8634 0.7496 0.7247
O6 O 0.1665 0.7489 0.2736
O7 O 0.8335 0.2489 0.7264
O8 O 0.1890 0.0579 0.5690
O9 O 0.6961 0.9416 0.9318
O10 O 0.6366 0.7496 0.2247
O11 O 0.3335 0.7489 0.7736
O12 O 0.8039 0.9416 0.4318
O13 O 0.9769 0.2505 0.0110
O14 O 0.6665 0.2489 0.2264
O15 O 0.8110 0.5579 0.4310
O16 O 0.3110 0.0579 0.0690
O17 O 0.3634 0.2496 0.7753
O18 O 0.1961 0.4416 0.5682
O19 O 0.5231 0.2505 0.5110
O20 O 0.0231 0.7505 0.9890
Nd1 Nd 0.4237 0.0267 0.3278
Nd2 Nd 0.0763 0.0267 0.8278
Nd3 Nd 0.0973 0.7466 0.5241
Nd4 Nd 0.9237 0.5267 0.1722
Nd5 Nd 0.4027 0.7466 0.0241
Nd6 Nd 0.5973 0.2466 0.9759
Nd7 Nd 0.5763 0.5267 0.6722
Nd8 Nd 0.9027 0.2466 0.4759
Be1 Be 0.3085 0.2489 0.6020
Be2 Be 0.1915 0.2489 0.1020
Be3 Be 0.8085 0.7489 0.8980
Be4 Be 0.6915 0.7489 0.3980
Eu1 Eu 0.5822 0.9794 0.6748
Eu2 Eu 0.4178 0.4794 0.3252
Eu3 Eu 0.0822 0.4794 0.8252
Eu4 Eu 0.9178 0.9794 0.1748

# 3
# AgOs2Pt GGA-PBEsol optimized geometry
# DFT formation energy, kcal/mol of atoms: 10.8
data_AgOs2Pt
_chemical_formula_sum 'Ag1 Os2 Pt1'
_space_group_name_H-M_alt 'P 1'
_space_group_IT_number 1
_cell_length_a 2.7112
_cell_length_b 4.7555
_cell_length_c 4.8139
_cell_angle_alpha 109.25
_cell_angle_beta 90.00
_cell_angle_gamma 90.00
loop_
_space_group_symop_operation_xyz
'x,y,z'
loop_
_atom_site_label
_atom_site_type_symbol
_atom_site_fract_x
_atom_site_fract_y
_atom_site_fract_z
Os1 Os 0.0000 0.0000 0.0000
Os2 Os 0.5000 0.5000 0.0000
Ag1 Ag 0.0000 0.5000 0.5000
Pt1 Pt 0.5000 0.0000 0.5000

# 4
# LiFeF3 GGA-PBEsol optimized geometry
# Formation energy (no corrections), meV/atom: -2221
# Distance to the lowest polymorph of the same formula, meV/atom: 39
data_LiFeF3
_chemical_formula_sum 'Li2 Fe2 F6'
_space_group_name_H-M_alt 'P 1'
_space_group_IT_number 1
_cell_length_a 3.0956
_cell_length_b 6.1960
_cell_length_c 6.1960
_cell_angle_alpha 110.16
_cell_angle_beta 90.00
_cell_angle_gamma 90.00
loop_
_space_group_symop_operation_xyz
'x,y,z'
loop_
_atom_site_label
_atom_site_type_symbol
_atom_site_fract_x
_atom_site_fract_y
_atom_site_fract_z
F1 F 0.0000 0.1405 0.8600
F2 F 0.5000 0.8047 0.5451
F3 F 0.5000 0.4276 0.1795
F4 F 0.0000 0.8600 0.1405
F5 F 0.5000 0.1795 0.4276
F6 F 0.5000 0.5451 0.8047
Fe1 Fe 0.0000 0.9997 0.5055
Fe2 Fe 0.0000 0.5055 0.9997
Li1 Li 0.5000 0.0430 0.0430
Li2 Li 0.5000 0.4962 0.4962

# 5
# Ta2FeNi GGA-PBEsol optimized geometry
# DFT formation energy, kcal/mol of atoms: -4.7
data_Ta2FeNi
_chemical_formula_sum 'Ta2 Fe1 Ni1'
_space_group_name_H-M_alt 'P 1'
_space_group_IT_number 1
_cell_length_a 2.9395
_cell_length_b 4.0313
_cell_length_c 4.9449
_cell_angle_alpha 90.00
_cell_angle_beta 107.29
_cell_angle_gamma 90.00
loop_
_space_group_symop_operation_xyz
'x,y,z'
loop_
_atom_site_label
_atom_site_type_symbol
_atom_site_fract_x
_atom_site_fract_y
_atom_site_fract_z
Fe1 Fe 0.8428 0.0000 0.6855
Ni1 Ni 0.6674 0.5000 0.3348
Ta1 Ta 0.3934 0.5000 0.7868
Ta2 Ta 0.1037 0.0000 0.2075

# 6
# LiCu2Cl GGA-PBEsol optimized geometry
# Formation energy (no corrections), meV/atom: -275
# Distance to the lowest polymorph of the same formula, meV/atom: 0
data_LiCu2Cl
_chemical_formula_sum 'Li1 Cu2 Cl1'
_space_group_name_H-M_alt 'P 1'
_space_group_IT_number 1
_cell_length_a 3.3417
_cell_length_b 3.3417
_cell_length_c 5.5243
_cell_angle_alpha 90.00
_cell_angle_beta 90.00
_cell_angle_gamma 90.00
loop_
_space_group_symop_operation_xyz
'x,y,z'
loop_
_atom_site_label
_atom_site_type_symbol
_atom_site_fract_x
_atom_site_fract_y
_atom_site_fract_z
Cl1 Cl 0.0000 0.0000 0.5000
Cu1 Cu 0.0000 0.5000 0.0000
Cu2 Cu 0.5000 0.0000 0.0000
Li1 Li 0.5000 0.5000 0.5000

# 7
# HfCoAg3 GGA-PBEsol optimized geometry
# DFT formation energy, kcal/mol of atoms: 23.5
data_HfCoAg3
_chemical_formula_sum 'Hf1 Co1 Ag3'
_space_group_name_H-M_alt 'P 1'
_space_group_IT_number 1
_cell_length_a 4.5990
_cell_length_b 4.5990
_cell_length_c 4.5990
_cell_angle_alpha 90.00
_cell_angle_beta 90.00
_cell_angle_gamma 90.00
loop_
_space_group_symop_operation_xyz
'x,y,z'
loop_
_atom_site_label
_atom_site_type_symbol
_atom_site_fract_x
_atom_site_fract_y
_atom_site_fract_z
Ag1 Ag 0.0000 0.5000 0.0000
Ag2 Ag 0.5000 0.0000 0.0000
Ag3 Ag 0.0000 0.0000 0.5000
Co1 Co 0.0000 0.0000 0.0000
Hf1 Hf 0.5000 0.5000 0.5000

# 8
# In2FeAg GGA-PBEsol optimized geometry
# DFT formation energy, kcal/mol of atoms: 9.6
# Distance to the lowest polymorph of the same formula, meV/atom: 207
data_In2FeAg
_chemical_formula_sum 'In2 Fe1 Ag1'
_space_group_name_H-M_alt 'P 1'
_space_group_IT_number 1
_cell_length_a 4.6666
_cell_length_b 4.6666
_cell_length_c 4.6666
_cell_angle_alpha 60.00
_cell_angle_beta 60.00
_cell_angle_gamma 60.00
loop_
_space_group_symop_operation_xyz
'x,y,z'
loop_
_atom_site_label
_atom_site_type_symbol
_atom_site_fract_x
_atom_site_fract_y
_atom_site_fract_z
Fe1 Fe 0.2500 0.2500 0.2500
In1 In 0.7500 0.7500 0.7500
In2 In 0.0000 0.0000 0.0000
Ag1 Ag 0.5000 0.5000 0.5000

# 9
# CaScSi2 GGA-PBEsol optimized geometry
# Formation energy (no corrections), meV/atom: -213
# Distance to the lowest polymorph of the same formula, meV/atom: 302
data_CaScSi2
_chemical_formula_sum 'Ca1 Sc1 Si2'
_space_group_name_H-M_alt 'P 1'
_space_group_IT_number 1
_cell_length_a 3.2906
_cell_length_b 3.2906
_cell_length_c 7.6803
_cell_angle_alpha 90.00
_cell_angle_beta 90.00
_cell_angle_gamma 90.00
loop_
_space_group_symop_operation_xyz
'x,y,z'
loop_
_atom_site_label
_atom_site_type_symbol
_atom_site_fract_x
_atom_site_fract_y
_atom_site_fract_z
Sc1 Sc 0.5000 0.5000 0.8249
Ca1 Ca 0.0000 0.0000 0.4486
Si1 Si 0.5000 0.5000 0.1802
Si2 Si 0.0000 0.0000 0.0463

# 10
# SrLaCoO4 GGA-PBEsol optimized geometry
# Formation energy (no corrections), meV/atom: -2464
# Distance to the lowest polymorph of the same formula, meV/atom: 0
data_SrLaCoO4
_chemical_formula_sum 'Sr1 La1 Co1 O4'
_space_group_name_H-M_alt 'P 1'
_space_group_IT_number 1
_cell_length_a 3.7816
_cell_length_b 3.7816
_cell_length_c 6.6671
_cell_angle_alpha 106.48
_cell_angle_beta 106.48
_cell_angle_gamma 90.00
loop_
_space_group_symop_operation_xyz
'x,y,z'
loop_
_atom_site_label
_atom_site_type_symbol
_atom_site_fract_x
_atom_site_fract_y
_atom_site_fract_z
La1 La 0.6394 0.6394 0.2789
O1 O 0.5060 0.0060 0.0121
O2 O 0.0060 0.5060 0.0121
O3 O 0.8340 0.8340 0.6681
O4 O 0.1598 0.1598 0.3197
Co1 Co 0.9950 0.9950 0.9899
Sr1 Sr 0.3596 0.3596 0.7193

Final energy (computed, eV for the cell shown): -6.00; -318.27; -32.83; -55.64; -41.04; -13.74; -23.09; -16.57; -21.09; -53.17